Density functional theory data (meta-GGA SCAN) for a crystal of Ba3Nb2O8 relaxed with PBEsol.

a b c (Å): 6.0419 6.0419 7.9406
angles (deg): 67.64 67.64 60.00
Fractional coordinates of all 13 atoms:
1 Ba 0.0000 0.0000 0.0000
2 Ba 0.1995 0.1995 0.4015
3 Ba 0.8005 0.8005 0.5985
4 Nb 0.5939 0.5939 0.2183
5 Nb 0.4061 0.4061 0.7817
6 O 0.7333 0.7333 0.3055
7 O 0.7333 0.2279 0.3055
8 O 0.2279 0.7333 0.3055
9 O 0.2667 0.2667 0.6945
10 O 0.2667 0.7721 0.6945
11 O 0.7721 0.2667 0.6945
12 O 0.6806 0.6806 0.9583
13 O 0.3194 0.3194 0.0417

Output
- Calculated total energy: -21.12 eV per atom
- Total magnetization: 0.000 μB/cell

Density functional theory data (meta-GGA SCAN) for a crystal of CdInFe2 relaxed with PBEsol.

a b c (Å): 2.8110 4.8252 4.8252
angles (deg): 109.05 90.00 90.00
Last column: magnetic moment on the atom in μB.
Fractional coordinates of all 4 atoms:
1 Cd 0.5000 0.0000 0.0000  -0.09
2 Fe 0.0000 0.0000 0.5000  2.87
3 Fe 0.0000 0.5000 0.0000  2.87
4 In 0.5000 0.5000 0.5000  -0.13

Output
- Calculated total energy: -24.76 eV per atom
- Total magnetization: 5.403 μB/cell
- ΔH_f (0 K): 0.26 eV/atom

Density functional theory data (meta-GGA SCAN) for a crystal of NdSi2Os2 relaxed with PBEsol.

a b c (Å): 4.1574 4.1574 5.7260
angles (deg): 111.29 111.29 90.00
Fractional coordinates of all 5 atoms:
1 Nd 0.0000 0.0000 0.0000
2 Si 0.6301 0.6301 0.2602
3 Si 0.3699 0.3699 0.7398
4 Os 0.7500 0.2500 0.5000
5 Os 0.2500 0.7500 0.5000

Output
- Calculated total energy: -42.26 eV per atom
- Total magnetization: 0.000 μB/cell

Density functional theory data (meta-GGA SCAN) for a crystal of K2InTe relaxed with PBEsol.

a b c (Å): 4.4772 4.4766 6.8546
angles (deg): 90.00 90.00 90.00
Fractional coordinates of all 4 atoms:
1 In 0.5000 0.5000 0.5000
2 K 0.0000 0.0000 0.7755
3 K 0.0000 0.0000 0.2245
4 Te 0.5000 0.5000 0.0000

Output
- Distance to the lowest polymorph of the same formula: 5.8 kJ per mole of atoms
- Calculated total energy: -22.37 eV per atom
- Total magnetization: 0.000 μB/cell

Q: What is the calculated total energy in the fourth record?
A: -22.37 eV per atom

Repeat the second record exactly.
Density functional theory data (meta-GGA SCAN) for a crystal of CdInFe2 relaxed with PBEsol.

a b c (Å): 2.8110 4.8252 4.8252
angles (deg): 109.05 90.00 90.00
Last column: magnetic moment on the atom in μB.
Fractional coordinates of all 4 atoms:
1 Cd 0.5000 0.0000 0.0000  -0.09
2 Fe 0.0000 0.0000 0.5000  2.87
3 Fe 0.0000 0.5000 0.0000  2.87
4 In 0.5000 0.5000 0.5000  -0.13

Output
- Calculated total energy: -24.76 eV per atom
- Total magnetization: 5.403 μB/cell
- ΔH_f (0 K): 0.26 eV/atom

Q: What is the formula in the third record?
A: NdSi2Os2